Below is a geometry-optimized NaSbPtRh structure, with properties calculated at the GGA-PBE level.

Output
Total magnetization   0.00 μB per formula unit
Uncorrected formation energy   -0.20 eV per atom

Cell lengths 6.4810, 6.4810, 6.4810 Å; angles 90.00, 90.00, 90.00 degrees
Space group F-43m (No. 216)
One atom of each set of equivalent atoms:
1 Na 0.0000 0.0000 0.0000 x4
2 Sb 0.0000 0.0000 0.5000 x4
3 Pt 0.2500 0.2500 0.7500 x4
4 Rh 0.2500 0.2500 0.2500 x4